No. 1
## NaVCl2 (PBE)

Data for crystalline NaVCl2 at its relaxed geometry.

a = 7.3208 Å, b = 7.3208 Å, c = 7.3208 Å
α = 131.83°, β = 131.83°, γ = 70.50°
With the nearest neighbours (Å) after each atom.
Fractional positions:
Na (0.0000, 0.0000, 0.0000)  4 Cl 2.70
Na (0.7500, 0.2500, 0.5000)  4 Cl 2.70
V (0.2500, 0.7500, 0.5000)  4 Cl 2.48
V (0.5000, 0.5000, 0.0000)  4 Cl 2.48
Cl (0.1567, 0.6250, 0.0317)  2 V 2.48, 2 Na 2.70
Cl (0.3750, 0.4067, 0.5317)  2 V 2.48, 2 Na 2.70
Cl (0.5933, 0.1250, 0.9683)  2 V 2.48, 2 Na 2.70
Cl (0.8750, 0.8433, 0.4683)  2 V 2.48, 2 Na 2.70

Calculated values
- relative energy among the computed polymorphs (meV/atom) = 48
- electronic total energy (eV per cell) = -34.24
- E_form (uncorrected) (meV/atom) = -747.1
- V (A^3/atom) = 26.68

---

No. 2
## NaV2Cl6 (PBE)

Data for crystalline NaV2Cl6 at its relaxed geometry.

a = 6.2567 Å, b = 6.2567 Å, c = 6.2756 Å
α = 90.00°, β = 90.00°, γ = 120.00°
With the nearest neighbours (Å) after each atom.
Fractional positions:
Na (0.0000, 0.0000, 0.0000)  6 Cl 2.86
V (0.3333, 0.6667, 0.5000)  6 Cl 2.43
V (0.6667, 0.3333, 0.5000)  6 Cl 2.43
Cl (0.0000, 0.3597, 0.7191)  2 V 2.43
Cl (0.0000, 0.6403, 0.2809)  2 V 2.43
Cl (0.3597, 0.0000, 0.7191)  2 V 2.43
Cl (0.3597, 0.3597, 0.2809)  2 V 2.43
Cl (0.6403, 0.0000, 0.2809)  2 V 2.43
Cl (0.6403, 0.6403, 0.7191)  2 V 2.43

Calculated values
- relative energy among the computed polymorphs (meV/atom) = 0
- electronic total energy (eV per cell) = -42.89
- E_form (uncorrected) (meV/atom) = -1361.4
- V (A^3/atom) = 23.64

---

No. 3
## NaVCl4 (PBE)

Data for crystalline NaVCl4 at its relaxed geometry.

a = 8.4436 Å, b = 8.4436 Å, c = 6.2731 Å
α = 98.12°, β = 98.12°, γ = 127.32°
With the nearest neighbours (Å) after each atom.
Fractional positions:
Na (0.2120, 0.7880, 0.7500)  6 Cl 2.77-2.94
Na (0.7880, 0.2120, 0.2500)  6 Cl 2.77-2.94
V (0.0607, 0.9393, 0.2500)  6 Cl 2.33-2.43
V (0.9393, 0.0607, 0.7500)  6 Cl 2.33-2.43
Cl (0.0341, 0.3706, 0.6902)  1 V 2.33
Cl (0.1310, 0.2378, 0.1459)  2 V 2.43
Cl (0.2378, 0.1310, 0.6459)  2 V 2.43
Cl (0.3706, 0.0341, 0.1902)  1 V 2.33
Cl (0.6294, 0.9659, 0.8098)  1 V 2.33
Cl (0.7622, 0.8690, 0.3541)  2 V 2.43
Cl (0.8690, 0.7622, 0.8541)  2 V 2.43
Cl (0.9659, 0.6294, 0.3098)  1 V 2.33

Calculated values
- electronic total energy (eV per cell) = -52.43
- E_form (uncorrected) (meV/atom) = -1398.2
- V (A^3/atom) = 28.10

---

No. 4
## NaVCl3 (PBE)

Data for crystalline NaVCl3 at its relaxed geometry.

a = 4.9679 Å, b = 4.9679 Å, c = 4.9679 Å
α = 90.00°, β = 90.00°, γ = 90.00°
With the nearest neighbours (Å) after each atom.
Fractional positions:
Na (0.0000, 0.0000, 0.0000)  6 Cl 2.48
V (0.5000, 0.5000, 0.5000)  12 Cl 3.51
Cl (0.0000, 0.0000, 0.5000)  2 Na 2.48
Cl (0.0000, 0.5000, 0.0000)  2 Na 2.48
Cl (0.5000, 0.0000, 0.0000)  2 Na 2.48

Calculated values
- relative energy among the computed polymorphs (meV/atom) = 1038
- electronic total energy (eV per cell) = -17.62
- E_form (uncorrected) (meV/atom) = -328.0
- V (A^3/atom) = 24.52

---

No. 5
## NaVCl6 (PBE)

Data for crystalline NaVCl6 at its relaxed geometry.

a = 6.8985 Å, b = 6.8985 Å, c = 6.8985 Å
α = 55.86°, β = 55.86°, γ = 55.86°
With the nearest neighbours (Å) after each atom.
Fractional positions:
Na (0.0000, 0.0000, 0.0000)  6 Cl 2.89
V (0.5000, 0.5000, 0.5000)  6 Cl 2.28
Cl (0.1262, 0.7029, 0.4457)  1 V 2.28
Cl (0.2971, 0.5543, 0.8738)  1 V 2.28
Cl (0.4457, 0.1262, 0.7029)  1 V 2.28
Cl (0.5543, 0.8738, 0.2971)  1 V 2.28
Cl (0.7029, 0.4457, 0.1262)  1 V 2.28
Cl (0.8738, 0.2971, 0.5543)  1 V 2.28

Calculated values
- electronic total energy (eV per cell) = -30.59
- E_form (uncorrected) (meV/atom) = -1133.6
- V (A^3/atom) = 26.24

---

No. 6
## Na3VCl7 (PBE)

Data for crystalline Na3VCl7 at its relaxed geometry.

a = 7.0921 Å, b = 7.0921 Å, c = 6.7404 Å
α = 95.54°, β = 95.54°, γ = 75.64°
With the nearest neighbours (Å) after each atom.
Fractional positions:
Na (0.0000, 0.0000, 0.0000)  2 Cl 2.64-2.82
Na (0.4524, 0.9081, 0.4760)  5 Cl 2.59-2.84
Na (0.9081, 0.4524, 0.4760)  5 Cl 2.59-2.84
V (0.6710, 0.6710, 0.9788)  6 Cl 2.30-2.44
Cl (0.0992, 0.0992, 0.3764)  3 Na 2.59-2.64
Cl (0.3621, 0.7407, 0.8099)  1 V 2.33
Cl (0.5523, 0.5523, 0.2369)  1 V 2.32
Cl (0.6080, 0.9835, 0.1290)  1 V 2.30
Cl (0.7407, 0.3621, 0.8099)  1 V 2.33
Cl (0.7975, 0.7975, 0.7082)  1 V 2.44
Cl (0.9835, 0.6080, 0.1290)  1 V 2.30

Calculated values
- electronic total energy (eV per cell) = -41.87
- E_form (uncorrected) (meV/atom) = -1442.2
- V (A^3/atom) = 29.63

---

No. 7
## NaV3Cl (PBE)

Data for crystalline NaV3Cl at its relaxed geometry.

a = 5.1458 Å, b = 5.1458 Å, c = 5.1458 Å
α = 90.00°, β = 90.00°, γ = 90.00°
With the nearest neighbours (Å) after each atom.
Fractional positions:
Na (0.0000, 0.0000, 0.0000)  6 V 2.57
V (0.0000, 0.0000, 0.5000)  2 Na 2.57
V (0.0000, 0.5000, 0.0000)  2 Na 2.57
V (0.5000, 0.0000, 0.0000)  2 Na 2.57
Cl (0.5000, 0.5000, 0.5000)  12 V 3.64

Calculated values
- relative energy among the computed polymorphs (meV/atom) = 1218
- electronic total energy (eV per cell) = -20.31
- E_form (uncorrected) (meV/atom) = 2042.2
- V (A^3/atom) = 27.25

---

No. 8
## NaVCl3 (PBE)

Data for crystalline NaVCl3 at its relaxed geometry.

a = 8.6226 Å, b = 8.6226 Å, c = 6.5467 Å
α = 97.42°, β = 97.42°, γ = 80.48°
With the nearest neighbours (Å) after each atom.
Fractional positions:
Na (0.1086, 0.8914, 0.7500)  6 Cl 2.77-2.86
Na (0.2934, 0.7066, 0.2500)  4 Cl 2.70-2.74
Na (0.7066, 0.2934, 0.7500)  4 Cl 2.70-2.74
Na (0.8914, 0.1086, 0.2500)  6 Cl 2.77-2.86
V (0.1625, 0.3262, 0.9970)  6 Cl 2.46-2.56
V (0.3262, 0.1625, 0.4970)  6 Cl 2.46-2.56
V (0.6738, 0.8375, 0.5030)  6 Cl 2.46-2.56
V (0.8375, 0.6738, 0.0030)  6 Cl 2.46-2.56
Cl (0.0600, 0.2018, 0.6399)  2 V 2.54-2.56, 1 Na 2.81
Cl (0.1116, 0.6048, 0.8991)  2 V 2.50-2.52, 2 Na 2.74-2.77
Cl (0.2018, 0.0600, 0.1399)  2 V 2.54-2.56, 1 Na 2.81
Cl (0.2741, 0.4160, 0.3490)  2 V 2.46, 1 Na 2.70
Cl (0.3952, 0.8884, 0.6009)  2 V 2.50-2.52, 2 Na 2.74-2.77
Cl (0.4160, 0.2741, 0.8490)  2 V 2.46, 1 Na 2.70
Cl (0.5840, 0.7259, 0.1510)  2 V 2.46, 1 Na 2.70
Cl (0.6048, 0.1116, 0.3991)  2 V 2.50-2.52, 2 Na 2.74-2.77
Cl (0.7259, 0.5840, 0.6510)  2 V 2.46, 1 Na 2.70
Cl (0.7982, 0.9400, 0.8601)  2 V 2.54-2.56, 1 Na 2.81
Cl (0.8884, 0.3952, 0.1009)  2 V 2.50-2.52, 2 Na 2.74-2.77
Cl (0.9400, 0.7982, 0.3601)  2 V 2.54-2.56, 1 Na 2.81

Calculated values
- relative energy among the computed polymorphs (meV/atom) = 0
- electronic total energy (eV per cell) = -91.24
- E_form (uncorrected) (meV/atom) = -1366.4
- V (A^3/atom) = 23.66

---

No. 9
## Na2VCl6 (PBE)

Data for crystalline Na2VCl6 at its relaxed geometry.

a = 6.2650 Å, b = 6.2650 Å, c = 11.9064 Å
α = 90.00°, β = 90.00°, γ = 90.00°
With the nearest neighbours (Å) after each atom.
Fractional positions:
Na (0.0000, 0.0000, 0.1678)  6 Cl 2.80-2.91
Na (0.0000, 0.0000, 0.8322)  6 Cl 2.80-2.91
Na (0.5000, 0.5000, 0.3322)  6 Cl 2.80-2.91
Na (0.5000, 0.5000, 0.6678)  6 Cl 2.80-2.91
V (0.0000, 0.0000, 0.5000)  6 Cl 2.31-2.34
V (0.5000, 0.5000, 0.0000)  6 Cl 2.31-2.34
Cl (0.1840, 0.1840, 0.3592)  1 V 2.34
Cl (0.1840, 0.1840, 0.6408)  1 V 2.34
Cl (0.2389, 0.2389, 0.0000)  1 V 2.31
Cl (0.2611, 0.7389, 0.5000)  1 V 2.31
Cl (0.3160, 0.6840, 0.1408)  1 V 2.34
Cl (0.3160, 0.6840, 0.8592)  1 V 2.34
Cl (0.6840, 0.3160, 0.1408)  1 V 2.34
Cl (0.6840, 0.3160, 0.8592)  1 V 2.34
Cl (0.7389, 0.2611, 0.5000)  1 V 2.31
Cl (0.7611, 0.7611, 0.0000)  1 V 2.31
Cl (0.8160, 0.8160, 0.3592)  1 V 2.34
Cl (0.8160, 0.8160, 0.6408)  1 V 2.34

Calculated values
- relative energy among the computed polymorphs (meV/atom) = 23
- electronic total energy (eV per cell) = -70.63
- E_form (uncorrected) (meV/atom) = -1386.4
- V (A^3/atom) = 25.96

---

No. 10
## NaVCl3 (PBE)

Data for crystalline NaVCl3 at its relaxed geometry.

a = 4.9309 Å, b = 4.9309 Å, c = 4.9309 Å
α = 90.00°, β = 90.00°, γ = 90.00°
With the nearest neighbours (Å) after each atom.
Fractional positions:
Na (0.0000, 0.0000, 0.0000)  12 Cl 3.49
V (0.5000, 0.5000, 0.5000)  6 Cl 2.47
Cl (0.0000, 0.5000, 0.5000)  2 V 2.47
Cl (0.5000, 0.0000, 0.5000)  2 V 2.47
Cl (0.5000, 0.5000, 0.0000)  2 V 2.47

Calculated values
- relative energy among the computed polymorphs (meV/atom) = 128
- electronic total energy (eV per cell) = -22.17
- E_form (uncorrected) (meV/atom) = -1238.4
- V (A^3/atom) = 23.98